1.
VASP calculation (PBE) on a relaxed structure of Er2Sc3Sn4.

Properties
**Magnetization**: 0.00 μB per formula unit
**Energy of formation from the pure elements**: -0.7294 eV/atom
**Total DFT energy (no corrections)**: -101.39 eV per cell

a = 7.670 Å, b = 7.942 Å, c = 7.897 Å
α = 90.00°, β = 90.00°, γ = 110.92°
Sites, in units of the cell vectors:
Sc (0.761, 0.752, 0.336)
Sc (0.739, 0.248, 0.836)
Sc (0.000, 0.500, 0.500)
Sc (0.500, 0.500, 0.000)
Sc (0.239, 0.248, 0.664)
Sc (0.261, 0.752, 0.164)
Sn (0.360, 0.491, 0.362)
Sn (0.663, 0.915, 0.041)
Sn (0.640, 0.509, 0.638)
Sn (0.837, 0.085, 0.541)
Sn (0.140, 0.509, 0.862)
Sn (0.163, 0.915, 0.459)
Sn (0.860, 0.491, 0.138)
Sn (0.337, 0.085, 0.959)
Er (0.444, 0.809, 0.678)
Er (0.056, 0.191, 0.178)
Er (0.556, 0.191, 0.322)
Er (0.944, 0.809, 0.822)

2.
VASP calculation (PBE) on a relaxed structure of ZnCdSb.

Properties
**Magnetization**: 0.00 μB per formula unit
**Energy relative to the elements, uncorrected**: 29 kJ/mol of formula units
**E above lowest polymorph**: 17 kJ/mol of formula units
**Total DFT energy (no corrections)**: -6.02 eV per cell

a = 4.361 Å, b = 4.361 Å, c = 4.433 Å
α = 90.00°, β = 90.00°, γ = 120.00°
Sites, in units of the cell vectors:
Zn (0.333, 0.667, 0.632)
Sb (0.667, 0.333, 0.393)
Cd (0.000, 0.000, 0.975)

3.
VASP calculation (PBE) on a relaxed structure of Li2PuS3.

Properties
**Magnetization**: 4.00 μB per formula unit
**Energy relative to the elements, uncorrected**: -806 kJ/mol of formula units
**E above lowest polymorph**: 0 kJ/mol of formula units
**Total DFT energy (no corrections)**: -77.79 eV per cell

a = 3.900 Å, b = 5.319 Å, c = 11.185 Å
α = 90.00°, β = 90.00°, γ = 90.00°
Site moments in Bohr magnetons follow the coordinates.
Sites, in units of the cell vectors:
Li (0.000, 0.249, 0.662)  0.00
Li (0.500, 0.751, 0.162)  0.00
Li (0.500, 0.751, 0.838)  0.00
Li (0.000, 0.249, 0.338)  0.00
S (0.500, 0.249, 0.500)  -0.14
S (0.000, 0.751, 0.000)  -0.14
S (0.500, 0.251, 0.162)  -0.14
S (0.000, 0.749, 0.338)  -0.14
S (0.000, 0.749, 0.662)  -0.14
S (0.500, 0.251, 0.838)  -0.14
Pu (0.500, 0.749, 0.500)  4.50
Pu (0.000, 0.251, 0.000)  4.50

4.
VASP calculation (PBE) on a relaxed structure of Mg3Ta.

Properties
**Magnetization**: 0.00 μB per formula unit
**Energy of formation from the pure elements**: 0.1779 eV/atom
**Total DFT energy (no corrections)**: -15.92 eV per cell

a = 3.033 Å, b = 3.033 Å, c = 10.260 Å
α = 90.00°, β = 90.00°, γ = 120.00°
Sites, in units of the cell vectors:
Mg (0.000, 0.000, 0.506)
Mg (0.667, 0.333, 0.250)
Mg (0.000, 0.000, 0.994)
Ta (0.667, 0.333, 0.750)

5.
VASP calculation (PBE) on a relaxed structure of Mg3Zn8Sn.

Properties
**Magnetization**: 0.00 μB per formula unit
**Energy of formation from the pure elements**: -0.0616 eV/atom
**Total DFT energy (no corrections)**: -19.72 eV per cell

a = 5.330 Å, b = 5.330 Å, c = 8.496 Å
α = 90.00°, β = 90.00°, γ = 120.00°
Sites, in units of the cell vectors:
Zn (0.164, 0.836, 0.246)
Zn (0.333, 0.667, 0.996)
Zn (0.504, 0.008, 0.754)
Zn (0.333, 0.667, 0.499)
Zn (0.672, 0.836, 0.246)
Zn (0.504, 0.496, 0.754)
Zn (0.164, 0.328, 0.246)
Zn (0.992, 0.496, 0.754)
Mg (0.000, 0.000, 0.940)
Mg (0.667, 0.333, 0.064)
Mg (0.667, 0.333, 0.437)
Sn (0.000, 0.000, 0.565)

6.
VASP calculation (PBE) on a relaxed structure of TbThTiN3.

Properties
**Magnetization**: 0.00 μB per formula unit
**Energy relative to the elements, uncorrected**: -769 kJ/mol of formula units
**Total DFT energy (no corrections)**: -105.79 eV per cell

a = 3.589 Å, b = 7.136 Å, c = 8.320 Å
α = 95.95°, β = 90.00°, γ = 90.00°
Sites, in units of the cell vectors:
Th (0.750, 0.363, 0.832)
Th (0.250, 0.637, 0.168)
Ti (0.250, 0.076, 0.606)
Ti (0.750, 0.924, 0.394)
Tb (0.750, 0.848, 0.867)
Tb (0.250, 0.152, 0.133)
N (0.750, 0.162, 0.553)
N (0.750, 0.388, 0.124)
N (0.750, 0.899, 0.147)
N (0.250, 0.612, 0.876)
N (0.250, 0.101, 0.853)
N (0.250, 0.838, 0.447)

7.
VASP calculation (PBE) on a relaxed structure of BaNiW.

Properties
**Magnetization**: 0.50 μB per formula unit
**Energy of formation from the pure elements**: 0.4256 eV/atom
**E above lowest polymorph**: 31 kJ/mol of formula units
**Total DFT energy (no corrections)**: -38.76 eV per cell

a = 12.795 Å, b = 4.184 Å, c = 4.187 Å
α = 120.01°, β = 80.53°, γ = 119.26°
Site moments in Bohr magnetons follow the coordinates.
Sites, in units of the cell vectors:
Ni (0.854, 0.396, 0.232)  0.07
Ni (0.634, 0.367, 0.829)  0.04
Ba (0.465, 0.754, 0.108)  0.04
Ba (0.082, 0.441, 0.640)  0.10
W (0.733, 0.863, 0.526)  0.11
W (0.851, 0.723, 0.897)  0.14

8.
VASP calculation (PBE) on a relaxed structure of Pm5NdDy12.

Properties
**Magnetization**: 0.00 μB per formula unit
**Energy of formation from the pure elements**: 0.1019 eV/atom
**Total DFT energy (no corrections)**: -81.91 eV per cell

a = 11.367 Å, b = 10.379 Å, c = 5.974 Å
α = 90.00°, β = 90.00°, γ = 56.80°
Sites, in units of the cell vectors:
Pm (0.500, 0.000, 0.500)
Pm (0.167, 0.665, 0.500)
Pm (0.332, 0.335, 0.000)
Pm (0.833, 0.335, 0.500)
Pm (0.668, 0.665, 0.000)
Dy (0.345, 0.667, 0.946)
Dy (0.156, 0.333, 0.446)
Dy (0.511, 0.333, 0.554)
Dy (0.489, 0.667, 0.446)
Dy (0.012, 0.333, 0.946)
Dy (0.324, 0.000, 0.051)
Dy (0.823, 0.000, 0.449)
Dy (0.989, 0.667, 0.054)
Dy (0.177, 0.000, 0.551)
Dy (0.655, 0.333, 0.054)
Dy (0.676, 0.000, 0.949)
Dy (0.844, 0.667, 0.554)
Nd (0.000, 0.000, 0.000)

9.
VASP calculation (PBE) on a relaxed structure of CrFe2C.

Properties
**Magnetization**: 2.68 μB per formula unit
**Energy of formation from the pure elements**: 0.2988 eV/atom
**Total DFT energy (no corrections)**: -34.58 eV per cell

a = 2.669 Å, b = 2.669 Å, c = 6.672 Å
α = 78.46°, β = 78.46°, γ = 60.00°
Site moments in Bohr magnetons follow the coordinates.
Sites, in units of the cell vectors:
Cr (0.500, 0.500, 0.500)  0.05
Fe (0.275, 0.275, 0.175)  1.38
Fe (0.725, 0.725, 0.825)  1.38
C (0.000, 0.000, 0.000)  -0.08

10.
VASP calculation (PBE) on a relaxed structure of ScPtW2.

Properties
**Magnetization**: 0.00 μB per formula unit
**Energy of formation from the pure elements**: 0.4547 eV/atom
**Total DFT energy (no corrections)**: -72.92 eV per cell

a = 7.668 Å, b = 7.668 Å, c = 5.999 Å
α = 50.28°, β = 50.28°, γ = 90.00°
Sites, in units of the cell vectors:
Pt (0.750, 0.250, 0.500)
Pt (0.000, 0.000, 0.000)
Sc (0.250, 0.750, 0.500)
Sc (0.500, 0.500, 0.000)
W (0.661, 0.125, 0.250)
W (0.375, 0.339, 0.750)
W (0.089, 0.625, 0.250)
W (0.875, 0.911, 0.750)

11.
VASP calculation (PBE) on a relaxed structure of CaCo2Si3.

Properties
**Magnetization**: 0.00 μB per formula unit
**Energy relative to the elements, uncorrected**: -336 kJ/mol of formula units
**Total DFT energy (no corrections)**: -71.93 eV per cell

a = 5.027 Å, b = 6.001 Å, c = 6.001 Å
α = 105.35°, β = 90.00°, γ = 90.00°
Sites, in units of the cell vectors:
Si (0.250, 0.912, 0.524)
Si (0.750, 0.088, 0.476)
Si (0.750, 0.070, 0.070)
Si (0.250, 0.524, 0.912)
Si (0.250, 0.930, 0.930)
Si (0.750, 0.476, 0.088)
Co (0.500, 0.803, 0.197)
Co (0.500, 0.197, 0.803)
Co (0.000, 0.197, 0.803)
Co (0.000, 0.803, 0.197)
Ca (0.750, 0.656, 0.656)
Ca (0.250, 0.344, 0.344)

12.
VASP calculation (PBE) on a relaxed structure of NaZr2S4.

Properties
**Magnetization**: 0.00 μB per formula unit
**Energy relative to the elements, uncorrected**: -1006 kJ/mol of formula units
**E above lowest polymorph**: 0 kJ/mol of formula units
**Total DFT energy (no corrections)**: -90.70 eV per cell

a = 3.707 Å, b = 6.415 Å, c = 12.955 Å
α = 90.00°, β = 90.00°, γ = 106.79°
Sites, in units of the cell vectors:
S (0.937, 0.874, 0.750)
S (0.772, 0.545, 0.386)
S (0.500, 0.000, 0.000)
S (0.228, 0.455, 0.614)
S (0.772, 0.545, 0.114)
S (0.228, 0.455, 0.886)
S (0.063, 0.126, 0.250)
S (0.500, 0.000, 0.500)
Zr (0.869, 0.738, 0.933)
Zr (0.869, 0.738, 0.567)
Zr (0.131, 0.262, 0.433)
Zr (0.131, 0.262, 0.067)
Na (0.611, 0.223, 0.750)
Na (0.389, 0.777, 0.250)

13.
VASP calculation (PBE) on a relaxed structure of LaSb2Os.

Properties
**Magnetization**: 0.00 μB per formula unit
**Energy relative to the elements, uncorrected**: -49 kJ/mol of formula units
**Total DFT energy (no corrections)**: -24.91 eV per cell

a = 7.611 Å, b = 7.611 Å, c = 7.611 Å
α = 154.64°, β = 147.74°, γ = 41.48°
Sites, in units of the cell vectors:
Sb (0.932, 0.932, 0.000)
Sb (0.226, 0.726, 0.500)
Os (0.784, 0.284, 0.500)
La (0.557, 0.557, 0.000)

14.
VASP calculation (PBE) on a relaxed structure of ZrFeAuSe2.

Properties
**Magnetization**: 1.73 μB per formula unit
**Energy relative to the elements, uncorrected**: 332 kJ/mol of formula units
**Total DFT energy (no corrections)**: -23.82 eV per cell

a = 5.043 Å, b = 4.699 Å, c = 5.043 Å
α = 90.00°, β = 90.00°, γ = 90.00°
Site moments in Bohr magnetons follow the coordinates.
Sites, in units of the cell vectors:
Au (0.000, 0.000, 0.000)  0.04
Zr (0.500, 0.500, 0.500)  -0.91
Se (0.500, 0.000, 0.000)  0.05
Se (0.000, 0.000, 0.500)  0.06
Fe (0.000, 0.500, 0.000)  2.91

15.
VASP calculation (PBE) on a relaxed structure of YFeAg2.

Properties
**Magnetization**: 3.07 μB per formula unit
**Energy of formation from the pure elements**: 0.3954 eV/atom
**Total DFT energy (no corrections)**: -19.05 eV per cell

a = 9.628 Å, b = 9.628 Å, c = 9.628 Å
α = 18.52°, β = 18.52°, γ = 18.52°
Site moments in Bohr magnetons follow the coordinates.
Sites, in units of the cell vectors:
Ag (0.509, 0.509, 0.509)  0.01
Ag (0.991, 0.991, 0.991)  0.01
Y (0.750, 0.750, 0.750)  -0.01
Fe (0.250, 0.250, 0.250)  3.08

16.
VASP calculation (PBE) on a relaxed structure of BeNiSe.

Properties
**Magnetization**: 0.00 μB per formula unit
**Energy relative to the elements, uncorrected**: -38 kJ/mol of formula units
**Total DFT energy (no corrections)**: -53.53 eV per cell

a = 6.711 Å, b = 3.511 Å, c = 7.215 Å
α = 90.00°, β = 90.00°, γ = 90.00°
Sites, in units of the cell vectors:
Se (0.657, 0.750, 0.341)
Se (0.343, 0.250, 0.659)
Se (0.157, 0.750, 0.159)
Se (0.843, 0.250, 0.841)
Be (0.115, 0.750, 0.561)
Be (0.885, 0.250, 0.439)
Be (0.615, 0.750, 0.939)
Be (0.385, 0.250, 0.061)
Ni (0.290, 0.750, 0.868)
Ni (0.210, 0.250, 0.368)
Ni (0.710, 0.250, 0.132)
Ni (0.790, 0.750, 0.632)

17.
VASP calculation (PBE) on a relaxed structure of LiMg.

Properties
**Magnetization**: 0.00 μB per formula unit
**Energy of formation from the pure elements**: -0.0543 eV/atom
**Total DFT energy (no corrections)**: -7.23 eV per cell

a = 3.410 Å, b = 3.410 Å, c = 7.069 Å
α = 90.00°, β = 90.00°, γ = 90.00°
Sites, in units of the cell vectors:
Mg (0.250, 0.250, 0.640)
Mg (0.750, 0.750, 0.360)
Li (0.250, 0.250, 0.113)
Li (0.750, 0.750, 0.887)

18.
VASP calculation (PBE) on a relaxed structure of ZnCu2N2.

Properties
**Magnetization**: 0.00 μB per formula unit
**Energy relative to the elements, uncorrected**: 311 kJ/mol of formula units
**E above lowest polymorph**: 0 kJ/mol of formula units
**Total DFT energy (no corrections)**: -22.89 eV per cell

a = 3.536 Å, b = 3.536 Å, c = 5.353 Å
α = 90.00°, β = 90.00°, γ = 90.00°
Sites, in units of the cell vectors:
Zn (0.000, 0.000, 0.000)
Cu (0.500, 0.500, 0.281)
Cu (0.500, 0.500, 0.719)
N (0.500, 0.000, 0.211)
N (0.000, 0.500, 0.789)

19.
VASP calculation (PBE) on a relaxed structure of Ac8Ir3.

Properties
**Magnetization**: 0.00 μB per formula unit
**Energy of formation from the pure elements**: -0.4063 eV/atom
**Total DFT energy (no corrections)**: -63.92 eV per cell

a = 7.478 Å, b = 7.478 Å, c = 7.478 Å
α = 90.90°, β = 90.90°, γ = 90.90°
Sites, in units of the cell vectors:
Ac (0.650, 0.166, 0.839)
Ac (0.340, 0.340, 0.340)
Ac (0.839, 0.650, 0.166)
Ac (0.834, 0.161, 0.350)
Ac (0.660, 0.660, 0.660)
Ac (0.166, 0.839, 0.650)
Ac (0.161, 0.350, 0.834)
Ac (0.350, 0.834, 0.161)
Ir (0.000, 0.500, 0.500)
Ir (0.500, 0.500, 0.000)
Ir (0.500, 0.000, 0.500)

20.
VASP calculation (PBE) on a relaxed structure of CrNiTeN2.

Properties
**Magnetization**: 0.64 μB per formula unit
**Energy relative to the elements, uncorrected**: 289 kJ/mol of formula units
**E above lowest polymorph**: 0 kJ/mol of formula units
**Total DFT energy (no corrections)**: -32.21 eV per cell

a = 3.638 Å, b = 3.638 Å, c = 5.611 Å
α = 90.00°, β = 90.00°, γ = 90.00°
Site moments in Bohr magnetons follow the coordinates.
Sites, in units of the cell vectors:
Cr (0.000, 0.000, 0.000)  -0.38
N (0.000, 0.500, 0.000)  0.22
N (0.500, 0.000, 0.000)  0.22
Ni (0.500, 0.500, 0.500)  0.40
Te (0.000, 0.000, 0.500)  0.03

21.
VASP calculation (PBE) on a relaxed structure of YHg2Br.

Properties
**Magnetization**: 0.00 μB per formula unit
**Energy relative to the elements, uncorrected**: -174 kJ/mol of formula units
**E above lowest polymorph**: 55 kJ/mol of formula units
**Total DFT energy (no corrections)**: -21.08 eV per cell

a = 9.146 Å, b = 9.146 Å, c = 7.078 Å
α = 49.76°, β = 49.76°, γ = 90.00°
Sites, in units of the cell vectors:
Hg (0.375, 0.338, 0.750)
Hg (0.662, 0.125, 0.250)
Hg (0.875, 0.912, 0.750)
Hg (0.088, 0.625, 0.250)
Br (0.500, 0.500, 0.000)
Br (0.250, 0.750, 0.500)
Y (0.000, 0.000, 0.000)
Y (0.750, 0.250, 0.500)

22.
VASP calculation (PBE) on a relaxed structure of YInCl2.

Properties
**Magnetization**: 1.15 μB per formula unit
**Energy relative to the elements, uncorrected**: -316 kJ/mol of formula units
**E above lowest polymorph**: 182 kJ/mol of formula units
**Total DFT energy (no corrections)**: -16.17 eV per cell

a = 5.138 Å, b = 5.138 Å, c = 5.138 Å
α = 60.00°, β = 60.00°, γ = 60.00°
Site moments in Bohr magnetons follow the coordinates.
Sites, in units of the cell vectors:
Cl (0.750, 0.750, 0.750)  0.01
Cl (0.250, 0.250, 0.250)  0.01
In (0.000, 0.000, 0.000)  0.11
Y (0.500, 0.500, 0.500)  0.48

23.
VASP calculation (PBE) on a relaxed structure of Ga2Ir2W.

Properties
**Magnetization**: 0.00 μB per formula unit
**Energy of formation from the pure elements**: -0.0783 eV/atom
**E above lowest polymorph**: 0 kJ/mol of formula units
**Total DFT energy (no corrections)**: -74.24 eV per cell

a = 7.272 Å, b = 7.272 Å, c = 2.819 Å
α = 90.00°, β = 90.00°, γ = 90.00°
Sites, in units of the cell vectors:
Ir (0.830, 0.330, 0.500)
Ir (0.170, 0.670, 0.500)
Ir (0.670, 0.830, 0.500)
Ir (0.330, 0.170, 0.500)
Ga (0.130, 0.370, 0.000)
Ga (0.870, 0.630, 0.000)
Ga (0.370, 0.870, 0.000)
Ga (0.630, 0.130, 0.000)
W (0.000, 0.000, 0.000)
W (0.500, 0.500, 0.000)

24.
VASP calculation (PBE) on a relaxed structure of KRbTc3.

Properties
**Magnetization**: 10.33 μB per formula unit
**Energy of formation from the pure elements**: 3.0850 eV/atom
**E above lowest polymorph**: 0 kJ/mol of formula units
**Total DFT energy (no corrections)**: -17.74 eV per cell

a = 5.421 Å, b = 5.421 Å, c = 5.421 Å
α = 90.00°, β = 90.00°, γ = 90.00°
Site moments in Bohr magnetons follow the coordinates.
Sites, in units of the cell vectors:
K (0.000, 0.000, 0.000)  0.09
Rb (0.500, 0.500, 0.500)  0.01
Tc (0.500, 0.000, 0.000)  3.08
Tc (0.000, 0.500, 0.000)  3.05
Tc (0.000, 0.000, 0.500)  2.90